Crystalline Rb3Nd2SnSe6 at its relaxed geometry. Source: the Alexandria database, functional PBE.

Cell and atoms, written as POSCAR:
```
Rb3Nd2SnSe6
1.0
3.769 -6.529 0.000
3.769 6.529 0.000
-2.514 0.000 8.009
Rb Nd Sn Se
3 2 1 6
direct
0.000 0.000 0.000 Rb
0.333 0.667 0.000 Rb
0.667 0.333 0.000 Rb
0.167 0.833 0.500 Nd
0.833 0.167 0.500 Nd
0.500 0.500 0.500 Sn
0.107 0.434 0.301 Se
0.239 0.239 0.699 Se
0.434 0.107 0.301 Se
0.566 0.893 0.699 Se
0.761 0.761 0.301 Se
0.893 0.566 0.699 Se
```

Output
The calculation puts the uncorrected formation energy at -1.37 eV/atom. As for the magnetization: 0.0 μB per formula unit.